1.
LiDyScZn | the Alexandria database | PBE | optimized geometry; symmetry = F-43m (216); formation energy from the elements = -0.107 eV/atom
1.0
-1.549 -3.060 3.572
-3.300 -3.544 -1.034
1.397 -4.751 -0.032
Sc Zn Li Dy
1 1 1 1
Cartesian
-0.863 -2.839 0.627 Sc
0.000 0.000 0.000 Zn
-1.726 -5.677 1.253 Li
-2.589 -8.516 1.880 Dy

***

2.
NdTi2V | the Alexandria database | PBE | optimized geometry; symmetry = R-3m (166); formation energy from the elements = 0.451 eV/atom; excess energy over the best structure of this formula in the dataset = 243 meV/atom
1.0
-0.522 2.388 -1.799
-2.321 1.865 0.589
5.131 7.142 5.429
Ti Nd V
2 1 1
Cartesian
3.291 5.410 3.664 Ti
-1.003 5.985 0.554 Ti
0.000 0.000 0.000 Nd
1.144 5.697 2.109 V

***

3.
ErCuAsH | the Alexandria database | PBE | optimized geometry; symmetry = P4/nmm (129); E = -4.9024 eV/atom
1.0
3.859 0.000 0.000
0.000 3.859 0.000
0.000 0.000 7.762
Er Cu As H
2 2 2 2
Cartesian
0.000 1.929 6.497 Er
1.929 0.000 1.265 Er
0.000 0.000 3.881 Cu
1.929 1.929 3.881 Cu
1.929 0.000 5.478 As
0.000 1.929 2.284 As
1.929 1.929 0.000 H
0.000 0.000 0.000 H

***

4.
Pm2ScCd2In2 | the Alexandria database | PBE | optimized geometry; symmetry = R-3m (166); formation energy from the elements = -0.228 eV/atom
1.0
-0.060 4.903 0.006
-1.165 2.432 4.095
8.275 2.548 3.777
Pm Sc Cd In
2 1 2 2
Cartesian
4.988 2.509 2.865 Pm
2.061 7.374 5.013 Pm
0.000 0.000 0.000 Sc
0.573 4.906 3.120 Cd
6.476 4.976 4.758 Cd
5.646 7.416 6.008 In
1.404 2.466 1.870 In

***

5.
PrPuPb | the Alexandria database | PBE | optimized geometry; symmetry = P3m1 (156); formation energy from the elements = -0.083 eV/atom; excess energy over the best structure of this formula in the dataset = 216 meV/atom
1.0
-0.648 0.384 3.483
-2.842 -4.644 -0.017
5.350 -0.086 1.005
Pb Pr Pu
1 1 1
Cartesian
-0.637 0.377 3.421 Pb
2.421 -1.488 1.733 Pr
-0.572 -2.852 2.799 Pu

***

6.
RbBe2GeF | the Alexandria database | PBE | optimized geometry; symmetry = P4/mmm (123); formation energy without anion corrections = 1.730 eV per atom
1.0
-4.430 -3.239 -3.675
4.097 -5.482 -0.107
-2.893 -2.269 5.487
Be Ge Rb F
2 1 1 1
Cartesian
-1.446 -1.134 2.743 Be
-2.215 -1.620 -1.837 Be
2.049 -2.741 -0.053 Ge
0.000 0.000 0.000 Rb
-1.613 -5.495 0.853 F

***

7.
BaNa2Ho | the Alexandria database | PBE | optimized geometry; symmetry = R-3m (166); formation energy from the elements = 0.368 eV/atom
1.0
3.665 0.000 0.000
1.832 3.174 0.000
1.832 1.058 13.771
Na Ho Ba
2 1 1
Cartesian
1.832 1.058 10.325 Na
5.497 3.174 3.446 Na
0.000 0.000 0.000 Ho
3.665 2.116 6.885 Ba